Entry 1:
# GGA-PBE KRe3As, optimized geometry
# crystal system: cubic
# final energy: -33.2 eV/cell
# total magnetization: 3.0 μB per formula unit
data_KRe3As
_chemical_formula_sum 'K1 Re3 As1'
_symmetry_space_group_name_H-M 'P m -3 m'
_symmetry_Int_Tables_number 221
_symmetry_space_group_name_Hall '-P 4 2 3'
_cell_length_a 4.7112
_cell_length_b 4.7112
_cell_length_c 4.7112
_cell_angle_alpha 90.00
_cell_angle_beta 90.00
_cell_angle_gamma 90.00
loop_
_atom_site_label
_atom_site_type_symbol
_atom_site_fract_x
_atom_site_fract_y
_atom_site_fract_z
_atom_site_occupancy
K1 K 0.0000 0.0000 0.0000 1
Re1 Re 0.0000 0.5000 0.5000 1
As1 As 0.5000 0.5000 0.5000 1

Entry 2:
# GGA-PBE TcPOsO, optimized geometry
# crystal system: orthorhombic
# final energy: -65.9 eV/cell
# total magnetization: 0.0 μB per formula unit
data_TcPOsO
_chemical_formula_sum 'Tc2 P2 Os2 O2'
_symmetry_space_group_name_H-M 'P m c 21'
_symmetry_Int_Tables_number 26
_cell_length_a 2.9006
_cell_length_b 6.3946
_cell_length_c 5.5975
_cell_angle_alpha 90.00
_cell_angle_beta 90.00
_cell_angle_gamma 90.00
loop_
_symmetry_equiv_pos_as_xyz
'x,y,z'
'-x,-y,z+1/2'
'-x,y,z'
'x,-y,z+1/2'
loop_
_atom_site_label
_atom_site_type_symbol
_atom_site_fract_x
_atom_site_fract_y
_atom_site_fract_z
_atom_site_occupancy
Tc1 Tc 0.0000 0.0006 0.0000 1
P1 P 0.5000 0.2468 0.1746 1
Os1 Os 0.5000 0.4043 0.5591 1
O1 O 0.0000 0.2346 0.7310 1

Entry 3:
# GGA-PBE DyNi3, optimized geometry
# energy of formation: -40.3 kJ/mol of atoms
# crystal system: trigonal
# final energy: -206.8 eV/cell
# total magnetization: 0.2 μB per formula unit
data_DyNi3
_chemical_formula_sum 'Dy9 Ni27'
_symmetry_space_group_name_H-M 'R -3 m'
_symmetry_Int_Tables_number 166
_symmetry_space_group_name_Hall '-R 3 2"'
_cell_length_a 4.9390
_cell_length_b 4.9390
_cell_length_c 24.3594
_cell_angle_alpha 90.00
_cell_angle_beta 90.00
_cell_angle_gamma 120.00
loop_
_atom_site_label
_atom_site_type_symbol
_atom_site_fract_x
_atom_site_fract_y
_atom_site_fract_z
_atom_site_occupancy
Dy1 Dy 0.0000 0.0000 0.0000 1
Dy2 Dy 0.0000 0.0000 0.1389 1
Ni1 Ni 0.0000 0.0000 0.3330 1
Ni2 Ni 0.0000 0.0000 0.5000 1
Ni3 Ni 0.0009 0.5005 0.9180 1

Entry 4:
# GGA-PBE Zr2AlB, optimized geometry
# crystal system: hexagonal
# final energy: -57.8 eV/cell
# total magnetization: 0.0 μB per formula unit
data_Zr2AlB
_chemical_formula_sum 'Zr4 Al2 B2'
_symmetry_space_group_name_H-M 'P 63/m m c'
_symmetry_Int_Tables_number 194
_symmetry_space_group_name_Hall '-P 6c 2c'
_cell_length_a 3.4115
_cell_length_b 3.4115
_cell_length_c 14.8281
_cell_angle_alpha 90.00
_cell_angle_beta 90.00
_cell_angle_gamma 120.00
loop_
_atom_site_label
_atom_site_type_symbol
_atom_site_fract_x
_atom_site_fract_y
_atom_site_fract_z
_atom_site_occupancy
Zr1 Zr 0.3333 0.6667 0.0899 1
Al1 Al 0.3333 0.6667 0.7500 1
B1 B 0.0000 0.0000 0.0000 1

Entry 5:
# GGA-PBE BeZn, optimized geometry
# crystal system: cubic
# final energy: -11.7 eV/cell
data_BeZn
_chemical_formula_sum 'Be4 Zn4'
_symmetry_space_group_name_H-M 'F -4 3 m'
_symmetry_Int_Tables_number 216
_symmetry_space_group_name_Hall 'F -4 2 3'
_cell_length_a 5.2253
_cell_length_b 5.2253
_cell_length_c 5.2253
_cell_angle_alpha 90.00
_cell_angle_beta 90.00
_cell_angle_gamma 90.00
loop_
_atom_site_label
_atom_site_type_symbol
_atom_site_fract_x
_atom_site_fract_y
_atom_site_fract_z
_atom_site_occupancy
Be1 Be 0.0000 0.0000 0.0000 1
Zn1 Zn 0.2500 0.2500 0.7500 1

Entry 6:
# GGA-PBE Lu4Ta2As3N3, optimized geometry
# crystal system: monoclinic
# final energy: -379.1 eV/cell
# total magnetization: 0.0 μB per formula unit
data_Lu4Ta2As3N3
_chemical_formula_sum 'Lu16 Ta8 As12 N12'
_symmetry_space_group_name_H-M 'C 1 2/c 1'
_symmetry_Int_Tables_number 15
_cell_length_a 10.2701
_cell_length_b 6.0017
_cell_length_c 12.9683
_cell_angle_alpha 90.00
_cell_angle_beta 105.22
_cell_angle_gamma 90.00
loop_
_symmetry_equiv_pos_as_xyz
'x,y,z'
'-x,-y,-z'
'-x,y,-z+1/2'
'x,-y,z+1/2'
'x+1/2,y+1/2,z'
'-x+1/2,-y+1/2,-z'
'-x+1/2,y+1/2,-z+1/2'
'x+1/2,-y+1/2,z+1/2'
loop_
_atom_site_label
_atom_site_type_symbol
_atom_site_fract_x
_atom_site_fract_y
_atom_site_fract_z
_atom_site_occupancy
Lu1 Lu 0.1177 0.0809 0.1023 1
Lu2 Lu 0.2142 0.0848 0.3979 1
Ta1 Ta 0.0533 0.4180 0.9155 1
As1 As 0.0000 0.1185 0.7500 1
As2 As 0.1499 0.4318 0.2493 1
N1 N 0.0826 0.2514 0.5000 1
N2 N 0.2500 0.2500 0.0000 1

Question: What is the formula in the third record?
Answer: DyNi3